A geometry-optimized Tb7Sm2Sc2 structure, computed with PBE.

abc: 3.6101 17.7160 11.0141
angles: 90.00 90.00 90.00
Last column: nearest neighbours and their distance in Å.
Space group Imm2 (No. 44)
Asymmetric unit:
Tb  0.0000  0.0000  0.0000  2 Sc 3.38, 2 Tb 3.61
Tb  0.0000  0.1561  0.4978  1 Sm 3.25, 2 Sc 3.26, 6 Tb 3.45-3.61
Tb  0.0000  0.3082  0.7369  3 Sc 3.21-3.53, 4 Tb 3.45-3.55
Tb  0.0000  0.3624  0.2795  2 Sc 3.14, 2 Sm 3.34
Sm  0.0000  0.0000  0.6536  6 Tb 3.25-3.34, 2 Sm 3.61
Sm  0.0000  0.5000  0.8464  6 Tb 3.60-3.70, 4 Sm 3.61-3.84
Sc  0.0000  0.1908  0.9963  7 Tb 3.14-3.38

Calculated values
DOS at the Fermi energy: 15.58 states/eV/f.u.
Relative energy among the computed polymorphs: 0.000 eV per formula unit